Density functional theory data (PBE with a Hubbard U) for crystalline MoPb3O at its relaxed geometry.

Values from the calculation:
M_tot: 0.4000 μB per atom
Distance to the lowest polymorph of the same formula: 761 meV per atom
DFT total energy: -3.712 eV per atom

Geometry as POSCAR:
```
MoPb3O
1.0
5.420 0.000 0.000
0.000 5.420 0.000
0.000 0.000 5.420
Mo Pb O
1 3 1
Direct
0.000 0.000 0.000
0.000 0.000 0.500
0.000 0.500 0.000
0.500 0.000 0.000
0.500 0.500 0.500
```